The following is a DFT calculation (GGA-PBE) of a relaxed Mg4AlCd crystal.

a = 5.7704 Å, b = 5.7704 Å, c = 5.7704 Å
α = 60.00°, β = 60.00°, γ = 60.00°
Positions (direct):
1 Mg 0.1248 0.1248 0.1248
2 Mg 0.1248 0.1248 0.6255
3 Mg 0.1248 0.6255 0.1248
4 Mg 0.6255 0.1248 0.1248
5 Al 0.7500 0.7500 0.7500
6 Cd 0.5000 0.5000 0.5000

Computed properties:
ΔE to the lowest computed polymorph = 0.186 eV per atom
space-group type = No. 216
calculated total energy = -1.683 eV/atom
DFT formation energy = 0.936 eV per formula unit